Entry 1:
SrMnAl2Si | PBE-GGA | relaxed

Cell and atoms, written as POSCAR:
```
SrMnAl2Si
1.0
4.625 0.000 0.000
0.000 4.625 0.000
0.000 0.000 4.458
Sr Mn Al Si
1 1 2 1
Direct
0.000 0.000 0.000 Sr
0.500 0.500 0.500 Mn
0.000 0.500 0.500 Al
0.500 0.000 0.500 Al
0.500 0.500 0.000 Si
```

Calculated values
total DFT energy (no corrections) = -4.984 eV/atom

=====

Entry 2:
TbMnAlSi2 | PBE-GGA | relaxed

Cell and atoms, written as POSCAR:
```
TbMnAlSi2
1.0
3.903 0.000 0.000
0.000 3.903 0.000
0.000 0.000 10.851
Tb Mn Al Si
2 2 2 4
Direct
0.000 0.000 0.000 Tb
0.500 0.500 0.500 Tb
0.000 0.500 0.750 Mn
0.500 0.000 0.250 Mn
0.000 0.500 0.250 Al
0.500 0.000 0.750 Al
0.000 0.000 0.390 Si
0.000 0.000 0.610 Si
0.500 0.500 0.110 Si
0.500 0.500 0.890 Si
```

Calculated values
total DFT energy (no corrections) = -6.216 eV/atom

=====

Entry 3:
ThMnAlSi2 | PBE-GGA | relaxed

Cell and atoms, written as POSCAR:
```
ThMnAlSi2
1.0
3.984 0.000 0.000
0.000 3.984 0.000
0.000 0.000 10.911
Th Mn Al Si
2 2 2 4
Direct
0.000 0.000 0.000 Th
0.500 0.500 0.500 Th
0.000 0.500 0.750 Mn
0.500 0.000 0.250 Mn
0.000 0.500 0.250 Al
0.500 0.000 0.750 Al
0.000 0.000 0.387 Si
0.000 0.000 0.613 Si
0.500 0.500 0.113 Si
0.500 0.500 0.887 Si
```

Calculated values
total DFT energy (no corrections) = -6.760 eV/atom

=====

Entry 4:
MnAlVSi2 | PBE-GGA | relaxed

Cell and atoms, written as POSCAR:
```
MnAlVSi2
1.0
4.598 0.000 0.000
0.000 4.598 0.000
0.000 0.000 4.496
Mn Al V Si
1 1 1 2
Direct
0.000 0.000 0.000 Mn
0.500 0.500 0.000 Al
0.000 0.000 0.500 V
0.000 0.500 0.500 Si
0.500 0.000 0.500 Si
```

Calculated values
total DFT energy (no corrections) = -5.838 eV/atom

=====

Entry 5:
Mn5AlSi2W2 | PBE-GGA | relaxed

Cell and atoms, written as POSCAR:
```
Mn5AlSi2W2
1.0
8.936 0.000 0.000
0.000 8.936 0.000
0.000 0.000 3.156
Mn Al Si W
10 2 4 4
Direct
0.000 0.500 0.000 Mn
0.063 0.205 0.000 Mn
0.205 0.937 0.000 Mn
0.295 0.437 0.000 Mn
0.437 0.705 0.000 Mn
0.500 0.000 0.000 Mn
0.563 0.295 0.000 Mn
0.705 0.563 0.000 Mn
0.795 0.063 0.000 Mn
0.937 0.795 0.000 Mn
0.000 0.000 0.500 Al
0.500 0.500 0.500 Al
0.125 0.375 0.500 Si
0.375 0.875 0.500 Si
0.625 0.125 0.500 Si
0.875 0.625 0.500 Si
0.174 0.674 0.500 W
0.326 0.174 0.500 W
0.674 0.826 0.500 W
0.826 0.326 0.500 W
```

Calculated values
total DFT energy (no corrections) = -8.721 eV/atom

=====

Entry 6:
SmMnAl | PBE-GGA | relaxed

Cell and atoms, written as POSCAR:
```
SmMnAl
1.0
4.570 0.000 0.000
-2.285 3.958 0.000
0.000 0.000 3.680
Sm Mn Al
1 1 1
Direct
0.000 0.000 0.000 Sm
0.667 0.333 0.500 Mn
0.333 0.667 0.500 Al
```

Calculated values
formation energy = -0.08 eV per atom

=====

Entry 7:
TbSmMnAl | PBE-GGA | relaxed

Cell and atoms, written as POSCAR:
```
TbSmMnAl
1.0
7.274 0.000 0.000
0.000 7.274 0.000
0.000 0.000 7.274
Tb Sm Mn Al
4 4 4 4
Direct
0.000 0.000 0.000 Tb
0.000 0.500 0.500 Tb
0.500 0.000 0.500 Tb
0.500 0.500 0.000 Tb
0.000 0.000 0.500 Sm
0.000 0.500 0.000 Sm
0.500 0.000 0.000 Sm
0.500 0.500 0.500 Sm
0.250 0.250 0.250 Mn
0.250 0.750 0.750 Mn
0.750 0.250 0.750 Mn
0.750 0.750 0.250 Mn
0.250 0.250 0.750 Al
0.250 0.750 0.250 Al
0.750 0.250 0.250 Al
0.750 0.750 0.750 Al
```

Calculated values
formation energy = -0.05 eV per atom

=====

Entry 8:
SmYMnAl | PBE-GGA | relaxed

Cell and atoms, written as POSCAR:
```
SmYMnAl
1.0
7.272 0.000 0.000
0.000 7.272 0.000
0.000 0.000 7.272
Sm Y Mn Al
4 4 4 4
Direct
0.000 0.000 0.000 Sm
0.000 0.500 0.500 Sm
0.500 0.000 0.500 Sm
0.500 0.500 0.000 Sm
0.000 0.000 0.500 Y
0.000 0.500 0.000 Y
0.500 0.000 0.000 Y
0.500 0.500 0.500 Y
0.250 0.250 0.250 Mn
0.250 0.750 0.750 Mn
0.750 0.250 0.750 Mn
0.750 0.750 0.250 Mn
0.250 0.250 0.750 Al
0.250 0.750 0.250 Al
0.750 0.250 0.250 Al
0.750 0.750 0.750 Al
```

Calculated values
formation energy = -0.06 eV per atom

=====

Entry 9:
Mn2Al2Sn | PBE-GGA | relaxed

Cell and atoms, written as POSCAR:
```
Mn2Al2Sn
1.0
6.721 0.000 0.000
0.000 6.721 0.000
0.000 0.000 3.514
Mn Al Sn
4 4 2
Direct
0.137 0.363 0.000 Mn
0.363 0.863 0.000 Mn
0.637 0.137 0.000 Mn
0.863 0.637 0.000 Mn
0.151 0.651 0.500 Al
0.349 0.151 0.500 Al
0.651 0.849 0.500 Al
0.849 0.349 0.500 Al
0.000 0.000 0.000 Sn
0.500 0.500 0.000 Sn
```

Calculated values
formation energy = 0.04 eV per atom

=====

Entry 10:
MnAl3Sn | PBE-GGA | relaxed

Cell and atoms, written as POSCAR:
```
MnAl3Sn
1.0
4.630 0.000 0.000
0.000 4.630 0.000
0.000 0.000 4.630
Mn Al Sn
1 3 1
Direct
0.000 0.000 0.000 Mn
0.000 0.000 0.500 Al
0.000 0.500 0.000 Al
0.500 0.000 0.000 Al
0.500 0.500 0.500 Sn
```

Calculated values
formation energy = 0.25 eV per atom
energy relative to the lowest polymorph listed for this composition = 0 meV/atom

=====

Entry 11:
MnAl2Sn | PBE-GGA | relaxed

Cell and atoms, written as POSCAR:
```
MnAl2Sn
1.0
4.065 0.000 0.000
0.000 4.065 0.000
0.000 0.000 18.355
Mn Al Sn
4 8 4
Direct
0.000 0.000 0.000 Mn
0.000 0.500 0.250 Mn
0.500 0.000 0.750 Mn
0.500 0.500 0.500 Mn
0.210 0.250 0.125 Al
0.250 0.710 0.375 Al
0.250 0.790 0.875 Al
0.290 0.250 0.625 Al
0.710 0.750 0.625 Al
0.750 0.210 0.875 Al
0.750 0.290 0.375 Al
0.790 0.750 0.125 Al
0.000 0.000 0.500 Sn
0.000 0.500 0.750 Sn
0.500 0.000 0.250 Sn
0.500 0.500 0.000 Sn
```

Calculated values
formation energy = 0.24 eV per atom

=====

Entry 12:
TiMnAlSn2 | PBE-GGA | relaxed

Cell and atoms, written as POSCAR:
```
TiMnAlSn2
1.0
5.003 0.000 0.000
0.000 5.003 0.000
0.000 0.000 4.617
Ti Mn Al Sn
1 1 1 2
Direct
0.000 0.000 0.000 Ti
0.500 0.500 0.500 Mn
0.500 0.500 0.000 Al
0.000 0.500 0.500 Sn
0.500 0.000 0.500 Sn
```

Calculated values
formation energy = 0.48 eV per atom

=====

The following size of the total moment values (in μB per formula unit) correspond, in order, to the records above: 0.0; 2.1; 1.8; 3.0; 3.4; 3.2; 3.3; 3.3; 4.4; 0.0; 3.1; 3.8.